A crystal of HfScSeBr2 relaxed with PBEsol. Source: Alexandria, functional meta-GGA SCAN. Values from VASP.

Summary:
* space-group type: No. 123
* calculated density: 5.84 g/cm³
* M_tot: 0.545 μB per atom
* E: -27.5185 eV/atom
* ΔE_f (raw): -0.337 eV per atom

Quantum ESPRESSO input file:
```
&SYSTEM
  ibrav = 0, nat = 5, ntyp = 4
/
ATOMIC_SPECIES
Hf 178.49 Hf.upf
Sc 44.96 Sc.upf
Se 78.96 Se.upf
Br 79.90 Br.upf
CELL_PARAMETERS angstrom
5.032 0.000 0.000
0.000 5.032 0.000
0.000 0.000 5.189
ATOMIC_POSITIONS crystal
Hf 0.000 0.000 0.000
Sc 0.500 0.500 0.500
Se 0.500 0.500 0.000
Br 0.000 0.500 0.500
Br 0.500 0.000 0.500
```



A crystal of HfScSe2Br relaxed with PBEsol. Source: Alexandria, functional meta-GGA SCAN. Values from VASP.

Summary:
* space-group type: No. 123
* calculated density: 5.82 g/cm³
* M_tot: 0.284 μB per atom
* E: -28.0135 eV/atom
* ΔE_f (raw): -0.708 eV per atom

Quantum ESPRESSO input file:
```
&SYSTEM
  ibrav = 0, nat = 5, ntyp = 4
/
ATOMIC_SPECIES
Hf 178.49 Hf.upf
Sc 44.96 Sc.upf
Se 78.96 Se.upf
Br 79.90 Br.upf
CELL_PARAMETERS angstrom
5.107 0.000 0.000
0.000 5.107 0.000
0.000 0.000 5.044
ATOMIC_POSITIONS crystal
Hf 0.000 0.000 0.000
Sc 0.500 0.500 0.500
Se 0.000 0.500 0.000
Se 0.500 0.000 0.000
Br 0.000 0.000 0.500
```



A crystal of SrHfSc2Br relaxed with PBEsol. Source: Alexandria, functional meta-GGA SCAN. Values from VASP.

Summary:
* space-group type: No. 123
* calculated density: 5.43 g/cm³
* M_tot: 0.000 μB per atom
* E: -26.4151 eV/atom
* ΔE_f (raw): 0.161 eV per atom

Quantum ESPRESSO input file:
```
&SYSTEM
  ibrav = 0, nat = 5, ntyp = 4
/
ATOMIC_SPECIES
Sr 87.62 Sr.upf
Hf 178.49 Hf.upf
Sc 44.96 Sc.upf
Br 79.90 Br.upf
CELL_PARAMETERS angstrom
5.106 0.000 0.000
0.000 5.106 0.000
0.000 0.000 5.111
ATOMIC_POSITIONS crystal
Sr 0.000 0.000 0.000
Hf 0.500 0.500 0.000
Sc 0.000 0.500 0.500
Sc 0.500 0.000 0.500
Br 0.500 0.500 0.500
```



Please write out number 2 again, unchanged.
A crystal of HfScSe2Br relaxed with PBEsol. Source: Alexandria, functional meta-GGA SCAN. Values from VASP.

Summary:
* space-group type: No. 123
* calculated density: 5.82 g/cm³
* M_tot: 0.284 μB per atom
* E: -28.0135 eV/atom
* ΔE_f (raw): -0.708 eV per atom

Quantum ESPRESSO input file:
```
&SYSTEM
  ibrav = 0, nat = 5, ntyp = 4
/
ATOMIC_SPECIES
Hf 178.49 Hf.upf
Sc 44.96 Sc.upf
Se 78.96 Se.upf
Br 79.90 Br.upf
CELL_PARAMETERS angstrom
5.107 0.000 0.000
0.000 5.107 0.000
0.000 0.000 5.044
ATOMIC_POSITIONS crystal
Hf 0.000 0.000 0.000
Sc 0.500 0.500 0.500
Se 0.000 0.500 0.000
Se 0.500 0.000 0.000
Br 0.000 0.000 0.500
```



Among the records above, which one has the lowest calculated density?
SrHfSc2Br



What is the M_tot in the third record?
0.000 μB per atom



What did the second record say?
A crystal of HfScSe2Br relaxed with PBEsol. Source: Alexandria, functional meta-GGA SCAN. Values from VASP.

Summary:
* space-group type: No. 123
* calculated density: 5.82 g/cm³
* M_tot: 0.284 μB per atom
* E: -28.0135 eV/atom
* ΔE_f (raw): -0.708 eV per atom

Quantum ESPRESSO input file:
```
&SYSTEM
  ibrav = 0, nat = 5, ntyp = 4
/
ATOMIC_SPECIES
Hf 178.49 Hf.upf
Sc 44.96 Sc.upf
Se 78.96 Se.upf
Br 79.90 Br.upf
CELL_PARAMETERS angstrom
5.107 0.000 0.000
0.000 5.107 0.000
0.000 0.000 5.044
ATOMIC_POSITIONS crystal
Hf 0.000 0.000 0.000
Sc 0.500 0.500 0.500
Se 0.000 0.500 0.000
Se 0.500 0.000 0.000
Br 0.000 0.000 0.500
```